The following is a PBE-GGA calculation of a geometry-optimized Er2Si3Pd2 structure, from Alexandria.

## Properties
Its uncorrected formation energy is -0.91 eV/atom. For the calculated volume, the calculation gives 17.90 Å³ per atom. The total magnetization comes out at 0.0 μB per formula unit. The calculation puts the distance to the lowest polymorph of the same formula at 0 meV per atom. The calculation puts the final energy at -0.2213 hartree per atom.

Cell lengths 4.1201, 6.8859, 9.0693 Å; angles 90.00, 103.13, 90.00 degrees
With the nearest neighbours (Å) after each atom.
Sites, in units of the cell vectors:
Pd: 0.3089 0.0481 0.6177  4 Si 2.47-2.55
Pd: 0.6911 0.9519 0.3823  4 Si 2.47-2.55
Pd: 0.3089 0.4519 0.6177  4 Si 2.47-2.55
Pd: 0.6911 0.5481 0.3823  4 Si 2.47-2.55
Er: 0.8459 0.7500 0.6919  6 Si 2.92-2.97, 6 Pd 2.98-3.07
Er: 0.1541 0.2500 0.3081  6 Si 2.92-2.97, 6 Pd 2.98-3.07
Er: 0.9455 0.2500 0.8911  9 Si 3.00-3.13
Er: 0.0545 0.7500 0.1089  9 Si 3.00-3.13
Si: 0.2245 0.7500 0.4490  6 Pd 2.54-2.55
Si: 0.7755 0.2500 0.5510  6 Pd 2.54-2.55
Si: 0.5597 0.4270 0.1194  2 Si 2.34-2.44, 1 Pd 2.47
Si: 0.4403 0.9270 0.8806  2 Si 2.34-2.44, 1 Pd 2.47
Si: 0.5597 0.0730 0.1194  2 Si 2.34-2.44, 1 Pd 2.47
Si: 0.4403 0.5730 0.8806  2 Si 2.34-2.44, 1 Pd 2.47